VASP calculation (PBE) on a geometry-optimized BaYCoIr2 structure.

It has space group P4/mmm (No. 123), with a = 5.028 Å, b = 5.028 Å, c = 6.029 Å, α = 90.00°, β = 90.00° and γ = 90.00°. The asymmetric unit holds Ba at (0.000, 0.000, 0.000), Y at (0.000, 0.000, 0.500), Co at (0.500, 0.500, 0.000) and Ir at (0.000, 0.500, 0.500).

The density of states at the Fermi level is 7.4 states/eV per cell. As for the calculated total energy: -24.722 eV/f.u. The magnetic moment is 2.0 μB per formula unit. The value obtained for the formation energy is 1.698 eV/atom.